Material: Mn2CrO6
Method: DFT, GGA+U
State: optimized geometry

abc: 5.083 5.083 10.066
angles: 90.00 90.00 59.94
Atoms (fractional coordinates):
Mn1 0.167 0.167 0.000
Mn2 0.333 0.333 0.500
Mn3 0.667 0.667 0.500
Mn4 0.833 0.833 0.000
Cr1 0.000 0.000 0.500
Cr2 0.500 0.500 0.000
O1 0.000 0.334 0.405
O2 0.000 0.666 0.595
O3 0.166 0.500 0.095
O4 0.166 0.834 0.905
O5 0.334 0.000 0.595
O6 0.334 0.666 0.405
O7 0.500 0.166 0.905
O8 0.500 0.834 0.095
O9 0.666 0.000 0.405
O10 0.666 0.334 0.595
O11 0.834 0.166 0.095
O12 0.834 0.500 0.905

Calculated values
ΔE to the lowest computed polymorph ... 0.000 eV/atom